# 1
# PrTaAlOs2 (PBE-GGA, relaxed)
data_PrTaAlOs2
_chemical_formula_sum 'Pr1 Ta1 Al1 Os2'
_space_group_name_H-M_alt 'P 1'
_space_group_IT_number 1
_cell_length_a 6.352
_cell_length_b 6.352
_cell_length_c 6.352
_cell_angle_alpha 141.29
_cell_angle_beta 141.29
_cell_angle_gamma 55.89
loop_
_space_group_symop_operation_xyz
'x,y,z'
loop_
_atom_site_label
_atom_site_type_symbol
_atom_site_fract_x
_atom_site_fract_y
_atom_site_fract_z
Pr1 Pr 0.000 0.000 0.000
Ta1 Ta 0.250 0.750 0.500
Al1 Al 0.750 0.250 0.500
Os1 Os 0.386 0.386 0.000
Os2 Os 0.614 0.614 0.000
# Formation energy ... -0.33 eV per atom



# 2
# Nd3HoZn (PBE-GGA, relaxed)
data_Nd3HoZn
_chemical_formula_sum 'Nd6 Ho2 Zn2'
_space_group_name_H-M_alt 'P 1'
_space_group_IT_number 1
_cell_length_a 7.509
_cell_length_b 7.509
_cell_length_c 7.920
_cell_angle_alpha 121.35
_cell_angle_beta 121.35
_cell_angle_gamma 74.17
loop_
_space_group_symop_operation_xyz
'x,y,z'
loop_
_atom_site_label
_atom_site_type_symbol
_atom_site_fract_x
_atom_site_fract_y
_atom_site_fract_z
Nd1 Nd 0.054 0.054 0.325
Nd2 Nd 0.084 0.467 0.247
Nd3 Nd 0.467 0.084 0.247
Nd4 Nd 0.533 0.916 0.753
Nd5 Nd 0.916 0.533 0.753
Nd6 Nd 0.946 0.946 0.675
Ho1 Ho 0.436 0.436 0.736
Ho2 Ho 0.564 0.564 0.264
Zn1 Zn 0.258 0.258 0.884
Zn2 Zn 0.742 0.742 0.116
# Formation energy ... 0.06 eV per atom



# 3
# FeReRu2 (PBE-GGA, relaxed)
data_FeReRu2
_chemical_formula_sum 'Fe1 Re1 Ru2'
_space_group_name_H-M_alt 'P 1'
_space_group_IT_number 1
_cell_length_a 2.684
_cell_length_b 2.684
_cell_length_c 7.425
_cell_angle_alpha 90.00
_cell_angle_beta 90.00
_cell_angle_gamma 90.00
loop_
_space_group_symop_operation_xyz
'x,y,z'
loop_
_atom_site_label
_atom_site_type_symbol
_atom_site_fract_x
_atom_site_fract_y
_atom_site_fract_z
Fe1 Fe 0.000 0.000 0.000
Re1 Re 0.500 0.500 0.236
Ru1 Ru 0.000 0.000 0.505
Ru2 Ru 0.500 0.500 0.762
# Formation energy ... 0.12 eV per atom



# 4
# AcTb2Nd2Er2 (PBE-GGA, relaxed)
data_AcTb2Nd2Er2
_chemical_formula_sum 'Ac1 Tb2 Nd2 Er2'
_space_group_name_H-M_alt 'P 1'
_space_group_IT_number 1
_cell_length_a 6.324
_cell_length_b 6.324
_cell_length_c 8.131
_cell_angle_alpha 97.65
_cell_angle_beta 97.65
_cell_angle_gamma 48.11
loop_
_space_group_symop_operation_xyz
'x,y,z'
loop_
_atom_site_label
_atom_site_type_symbol
_atom_site_fract_x
_atom_site_fract_y
_atom_site_fract_z
Ac1 Ac 0.000 0.000 0.000
Tb1 Tb 0.426 0.426 0.294
Tb2 Tb 0.574 0.574 0.706
Nd1 Nd 0.285 0.285 0.848
Nd2 Nd 0.715 0.715 0.152
Er1 Er 0.142 0.142 0.434
Er2 Er 0.858 0.858 0.566
# Formation energy ... 0.04 eV per atom



# 5
# Pr4Sm11Dy9 (PBE-GGA, relaxed)
data_Pr4Sm11Dy9
_chemical_formula_sum 'Pr4 Sm11 Dy9'
_space_group_name_H-M_alt 'P 1'
_space_group_IT_number 1
_cell_length_a 15.325
_cell_length_b 15.325
_cell_length_c 3.722
_cell_angle_alpha 90.00
_cell_angle_beta 90.00
_cell_angle_gamma 112.81
loop_
_space_group_symop_operation_xyz
'x,y,z'
loop_
_atom_site_label
_atom_site_type_symbol
_atom_site_fract_x
_atom_site_fract_y
_atom_site_fract_z
Pr1 Pr 0.054 0.256 0.000
Pr2 Pr 0.256 0.054 0.000
Pr3 Pr 0.744 0.946 0.000
Pr4 Pr 0.946 0.744 0.000
Sm1 Sm 0.093 0.455 0.500
Sm2 Sm 0.135 0.865 0.500
Sm3 Sm 0.211 0.211 0.500
Sm4 Sm 0.341 0.659 0.500
Sm5 Sm 0.455 0.093 0.500
Sm6 Sm 0.500 0.500 0.500
Sm7 Sm 0.545 0.907 0.500
Sm8 Sm 0.659 0.341 0.500
Sm9 Sm 0.789 0.789 0.500
Sm10 Sm 0.865 0.135 0.500
Sm11 Sm 0.907 0.545 0.500
Dy1 Dy 0.000 0.000 0.000
Dy2 Dy 0.135 0.663 0.000
Dy3 Dy 0.289 0.435 0.000
Dy4 Dy 0.337 0.865 0.000
Dy5 Dy 0.435 0.289 0.000
Dy6 Dy 0.565 0.711 0.000
Dy7 Dy 0.663 0.135 0.000
Dy8 Dy 0.711 0.565 0.000
Dy9 Dy 0.865 0.337 0.000
# Formation energy ... 0.07 eV per atom



# 6
# Pr2LuAl (PBE-GGA, relaxed)
data_Pr2LuAl
_chemical_formula_sum 'Pr2 Lu1 Al1'
_space_group_name_H-M_alt 'P 1'
_space_group_IT_number 1
_cell_length_a 3.594
_cell_length_b 3.594
_cell_length_c 9.245
_cell_angle_alpha 90.00
_cell_angle_beta 90.00
_cell_angle_gamma 90.00
loop_
_space_group_symop_operation_xyz
'x,y,z'
loop_
_atom_site_label
_atom_site_type_symbol
_atom_site_fract_x
_atom_site_fract_y
_atom_site_fract_z
Pr1 Pr 0.000 0.000 0.218
Pr2 Pr 0.000 0.000 0.782
Lu1 Lu 0.500 0.500 0.500
Al1 Al 0.500 0.500 0.000
# Energy above the lowest structure with this stoichiometry ... 42 meV per atom
# Formation energy ... -0.11 eV per atom



# 7
# SmZnGa3Ag (PBE-GGA, relaxed)
data_SmZnGa3Ag
_chemical_formula_sum 'Sm2 Zn2 Ga6 Ag2'
_space_group_name_H-M_alt 'P 1'
_space_group_IT_number 1
_cell_length_a 7.267
_cell_length_b 7.267
_cell_length_c 6.487
_cell_angle_alpha 90.00
_cell_angle_beta 90.00
_cell_angle_gamma 133.35
loop_
_space_group_symop_operation_xyz
'x,y,z'
loop_
_atom_site_label
_atom_site_type_symbol
_atom_site_fract_x
_atom_site_fract_y
_atom_site_fract_z
Sm1 Sm 0.183 0.817 0.750
Sm2 Sm 0.817 0.183 0.250
Zn1 Zn 0.398 0.602 0.750
Zn2 Zn 0.602 0.398 0.250
Ga1 Ga 0.221 0.221 0.000
Ga2 Ga 0.221 0.221 0.500
Ga3 Ga 0.379 0.621 0.250
Ga4 Ga 0.621 0.379 0.750
Ga5 Ga 0.779 0.779 0.000
Ga6 Ga 0.779 0.779 0.500
Ag1 Ag 0.168 0.832 0.250
Ag2 Ag 0.832 0.168 0.750
# Formation energy ... -0.13 eV per atom



# 8
# Zr2SnGe (PBE-GGA, relaxed)
data_Zr2SnGe
_chemical_formula_sum 'Zr2 Sn1 Ge1'
_space_group_name_H-M_alt 'P 1'
_space_group_IT_number 1
_cell_length_a 7.397
_cell_length_b 7.397
_cell_length_c 7.397
_cell_angle_alpha 30.22
_cell_angle_beta 30.22
_cell_angle_gamma 30.22
loop_
_space_group_symop_operation_xyz
'x,y,z'
loop_
_atom_site_label
_atom_site_type_symbol
_atom_site_fract_x
_atom_site_fract_y
_atom_site_fract_z
Zr1 Zr 0.241 0.241 0.241
Zr2 Zr 0.759 0.759 0.759
Sn1 Sn 0.000 0.000 0.000
Ge1 Ge 0.500 0.500 0.500
# Formation energy ... -0.54 eV per atom



# 9
# PmDy2Th (PBE-GGA, relaxed)
data_PmDy2Th
_chemical_formula_sum 'Pm1 Dy2 Th1'
_space_group_name_H-M_alt 'P 1'
_space_group_IT_number 1
_cell_length_a 3.583
_cell_length_b 3.583
_cell_length_c 10.108
_cell_angle_alpha 90.00
_cell_angle_beta 90.00
_cell_angle_gamma 90.00
loop_
_space_group_symop_operation_xyz
'x,y,z'
loop_
_atom_site_label
_atom_site_type_symbol
_atom_site_fract_x
_atom_site_fract_y
_atom_site_fract_z
Pm1 Pm 0.000 0.000 0.000
Dy1 Dy 0.500 0.500 0.258
Dy2 Dy 0.500 0.500 0.742
Th1 Th 0.000 0.000 0.500
# Energy above the lowest structure with this stoichiometry ... 27 meV per atom
# Formation energy ... 0.02 eV per atom



# 10
# Cs2GePbI6 (PBE-GGA, relaxed)
data_Cs2GePbI6
_chemical_formula_sum 'Cs2 Ge1 Pb1 I6'
_space_group_name_H-M_alt 'P 1'
_space_group_IT_number 1
_cell_length_a 6.224
_cell_length_b 6.224
_cell_length_c 12.361
_cell_angle_alpha 90.00
_cell_angle_beta 90.00
_cell_angle_gamma 90.00
loop_
_space_group_symop_operation_xyz
'x,y,z'
loop_
_atom_site_label
_atom_site_type_symbol
_atom_site_fract_x
_atom_site_fract_y
_atom_site_fract_z
Cs1 Cs 0.000 0.000 0.238
Cs2 Cs 0.000 0.000 0.762
Ge1 Ge 0.500 0.500 0.000
Pb1 Pb 0.500 0.500 0.500
I1 I 0.000 0.500 0.000
I2 I 0.000 0.500 0.500
I3 I 0.500 0.000 0.000
I4 I 0.500 0.000 0.500
I5 I 0.500 0.500 0.239
I6 I 0.500 0.500 0.761
# Energy above the lowest structure with this stoichiometry ... 13 meV per atom
# Energy relative to the elements, uncorrected ... -8.95 eV per formula unit



# 11
# NaLa2AgIr (PBE-GGA, relaxed)
data_NaLa2AgIr
_chemical_formula_sum 'Na1 La2 Ag1 Ir1'
_space_group_name_H-M_alt 'P 1'
_space_group_IT_number 1
_cell_length_a 5.488
_cell_length_b 5.488
_cell_length_c 5.434
_cell_angle_alpha 90.00
_cell_angle_beta 90.00
_cell_angle_gamma 90.00
loop_
_space_group_symop_operation_xyz
'x,y,z'
loop_
_atom_site_label
_atom_site_type_symbol
_atom_site_fract_x
_atom_site_fract_y
_atom_site_fract_z
Na1 Na 0.000 0.000 0.000
La1 La 0.000 0.500 0.500
La2 La 0.500 0.000 0.500
Ag1 Ag 0.500 0.500 0.000
Ir1 Ir 0.500 0.500 0.500
# Formation energy ... -0.18 eV per atom



# 12
# ScCo2BRh (PBE-GGA, relaxed)
data_ScCo2BRh
_chemical_formula_sum 'Sc1 Co2 B1 Rh1'
_space_group_name_H-M_alt 'P 1'
_space_group_IT_number 1
_cell_length_a 3.896
_cell_length_b 3.896
_cell_length_c 4.087
_cell_angle_alpha 90.00
_cell_angle_beta 90.00
_cell_angle_gamma 90.00
loop_
_space_group_symop_operation_xyz
'x,y,z'
loop_
_atom_site_label
_atom_site_type_symbol
_atom_site_fract_x
_atom_site_fract_y
_atom_site_fract_z
Sc1 Sc 0.000 0.000 0.000
Co1 Co 0.000 0.500 0.500
Co2 Co 0.500 0.000 0.500
B1 B 0.500 0.500 0.500
Rh1 Rh 0.500 0.500 0.000
# Formation energy ... -0.51 eV per atom



# 13
# Sr2BRh3 (PBE-GGA, relaxed)
data_Sr2BRh3
_chemical_formula_sum 'Sr2 B1 Rh3'
_space_group_name_H-M_alt 'P 1'
_space_group_IT_number 1
_cell_length_a 10.106
_cell_length_b 10.106
_cell_length_c 10.106
_cell_angle_alpha 161.10
_cell_angle_beta 155.69
_cell_angle_gamma 30.97
loop_
_space_group_symop_operation_xyz
'x,y,z'
loop_
_atom_site_label
_atom_site_type_symbol
_atom_site_fract_x
_atom_site_fract_y
_atom_site_fract_z
Sr1 Sr 0.160 0.160 0.000
Sr2 Sr 0.840 0.840 0.000
B1 B 0.500 0.500 0.000
Rh1 Rh 0.000 0.500 0.500
Rh2 Rh 0.433 0.933 0.500
Rh3 Rh 0.567 0.067 0.500
# Formation energy ... 0.03 eV per atom



# 14
# YTaSi2Tc (PBE-GGA, relaxed)
data_YTaSi2Tc
_chemical_formula_sum 'Y1 Ta1 Si2 Tc1'
_space_group_name_H-M_alt 'P 1'
_space_group_IT_number 1
_cell_length_a 6.249
_cell_length_b 6.249
_cell_length_c 6.249
_cell_angle_alpha 142.58
_cell_angle_beta 142.58
_cell_angle_gamma 53.95
loop_
_space_group_symop_operation_xyz
'x,y,z'
loop_
_atom_site_label
_atom_site_type_symbol
_atom_site_fract_x
_atom_site_fract_y
_atom_site_fract_z
Y1 Y 0.000 0.000 0.000
Ta1 Ta 0.250 0.750 0.500
Si1 Si 0.392 0.392 0.000
Si2 Si 0.608 0.608 0.000
Tc1 Tc 0.750 0.250 0.500
# Energy relative to the elements, uncorrected ... -3.22 eV per formula unit



# 15
# MgO (PBE-GGA, relaxed)
data_MgO
_chemical_formula_sum 'Mg12 O12'
_space_group_name_H-M_alt 'P 1'
_space_group_IT_number 1
_cell_length_a 9.679
_cell_length_b 9.679
_cell_length_c 4.191
_cell_angle_alpha 90.00
_cell_angle_beta 90.00
_cell_angle_gamma 120.00
loop_
_space_group_symop_operation_xyz
'x,y,z'
loop_
_atom_site_label
_atom_site_type_symbol
_atom_site_fract_x
_atom_site_fract_y
_atom_site_fract_z
Mg1 Mg 0.123 0.455 0.000
Mg2 Mg 0.123 0.668 0.500
Mg3 Mg 0.332 0.455 0.500
Mg4 Mg 0.332 0.877 0.000
Mg5 Mg 0.455 0.123 0.500
Mg6 Mg 0.455 0.332 0.000
Mg7 Mg 0.545 0.668 0.000
Mg8 Mg 0.545 0.877 0.500
Mg9 Mg 0.668 0.123 0.000
Mg10 Mg 0.668 0.545 0.500
Mg11 Mg 0.877 0.332 0.500
Mg12 Mg 0.877 0.545 0.000
O1 O 0.123 0.452 0.500
O2 O 0.123 0.671 0.000
O3 O 0.329 0.452 0.000
O4 O 0.329 0.877 0.500
O5 O 0.452 0.123 0.000
O6 O 0.452 0.329 0.500
O7 O 0.548 0.671 0.500
O8 O 0.548 0.877 0.000
O9 O 0.671 0.123 0.500
O10 O 0.671 0.548 0.000
O11 O 0.877 0.329 0.000
O12 O 0.877 0.548 0.500
# Energy relative to the elements, uncorrected ... -5.19 eV per formula unit



# 16
# YbMgIn2 (PBE-GGA, relaxed)
data_YbMgIn2
_chemical_formula_sum 'Yb1 Mg1 In2'
_space_group_name_H-M_alt 'P 1'
_space_group_IT_number 1
_cell_length_a 5.221
_cell_length_b 5.221
_cell_length_c 5.221
_cell_angle_alpha 60.00
_cell_angle_beta 60.00
_cell_angle_gamma 60.00
loop_
_space_group_symop_operation_xyz
'x,y,z'
loop_
_atom_site_label
_atom_site_type_symbol
_atom_site_fract_x
_atom_site_fract_y
_atom_site_fract_z
Yb1 Yb 0.000 0.000 0.000
Mg1 Mg 0.500 0.500 0.500
In1 In 0.250 0.250 0.250
In2 In 0.750 0.750 0.750
# Formation energy ... -0.36 eV per atom



# 17
# NdSm2Tm3Sb6 (PBE-GGA, relaxed)
data_NdSm2Tm3Sb6
_chemical_formula_sum 'Nd1 Sm2 Tm3 Sb6'
_space_group_name_H-M_alt 'P 1'
_space_group_IT_number 1
_cell_length_a 9.863
_cell_length_b 9.863
_cell_length_c 8.822
_cell_angle_alpha 102.77
_cell_angle_beta 102.77
_cell_angle_gamma 25.87
loop_
_space_group_symop_operation_xyz
'x,y,z'
loop_
_atom_site_label
_atom_site_type_symbol
_atom_site_fract_x
_atom_site_fract_y
_atom_site_fract_z
Nd1 Nd 0.000 0.000 0.000
Sm1 Sm 0.333 0.333 0.667
Sm2 Sm 0.667 0.667 0.333
Tm1 Tm 0.000 0.000 0.500
Tm2 Tm 0.334 0.334 0.167
Tm3 Tm 0.666 0.666 0.833
Sb1 Sb 0.165 0.165 0.588
Sb2 Sb 0.170 0.170 0.078
Sb3 Sb 0.498 0.498 0.258
Sb4 Sb 0.502 0.502 0.742
Sb5 Sb 0.830 0.830 0.922
Sb6 Sb 0.835 0.835 0.412
# Energy relative to the elements, uncorrected ... -13.45 eV per formula unit



# 18
# MgScAs4 (PBE-GGA, relaxed)
data_MgScAs4
_chemical_formula_sum 'Mg1 Sc1 As4'
_space_group_name_H-M_alt 'P 1'
_space_group_IT_number 1
_cell_length_a 5.590
_cell_length_b 5.590
_cell_length_c 5.590
_cell_angle_alpha 60.00
_cell_angle_beta 60.00
_cell_angle_gamma 60.00
loop_
_space_group_symop_operation_xyz
'x,y,z'
loop_
_atom_site_label
_atom_site_type_symbol
_atom_site_fract_x
_atom_site_fract_y
_atom_site_fract_z
Mg1 Mg 0.000 0.000 0.000
Sc1 Sc 0.750 0.750 0.750
As1 As 0.374 0.374 0.374
As2 As 0.374 0.374 0.877
As3 As 0.374 0.877 0.374
As4 As 0.877 0.374 0.374
# Formation energy ... 0.00 eV per atom



# 19
# SrAuF2 (PBE-GGA, relaxed)
data_SrAuF2
_chemical_formula_sum 'Sr1 Au1 F2'
_space_group_name_H-M_alt 'P 1'
_space_group_IT_number 1
_cell_length_a 4.613
_cell_length_b 4.613
_cell_length_c 4.613
_cell_angle_alpha 60.00
_cell_angle_beta 60.00
_cell_angle_gamma 60.00
loop_
_space_group_symop_operation_xyz
'x,y,z'
loop_
_atom_site_label
_atom_site_type_symbol
_atom_site_fract_x
_atom_site_fract_y
_atom_site_fract_z
Sr1 Sr 0.000 0.000 0.000
Au1 Au 0.500 0.500 0.500
F1 F 0.250 0.250 0.250
F2 F 0.750 0.750 0.750
# Energy above the lowest structure with this stoichiometry ... 315 meV per atom
# Energy relative to the elements, uncorrected ... -8.03 eV per formula unit



# 20
# PuU3Tl3S8 (PBE-GGA, relaxed)
data_PuU3Tl3S8
_chemical_formula_sum 'Pu1 U3 Tl3 S8'
_space_group_name_H-M_alt 'P 1'
_space_group_IT_number 1
_cell_length_a 8.100
_cell_length_b 8.100
_cell_length_c 8.871
_cell_angle_alpha 117.19
_cell_angle_beta 117.19
_cell_angle_gamma 59.75
loop_
_space_group_symop_operation_xyz
'x,y,z'
loop_
_atom_site_label
_atom_site_type_symbol
_atom_site_fract_x
_atom_site_fract_y
_atom_site_fract_z
Pu1 Pu 0.000 0.000 0.000
U1 U 0.000 0.500 0.000
U2 U 0.500 0.000 0.000
U3 U 0.500 0.500 0.000
Tl1 Tl 0.000 0.000 0.500
Tl2 Tl 0.000 0.500 0.500
Tl3 Tl 0.500 0.000 0.500
S1 S 0.234 0.724 0.192
S2 S 0.235 0.235 0.193
S3 S 0.268 0.268 0.805
S4 S 0.276 0.766 0.808
S5 S 0.724 0.234 0.192
S6 S 0.732 0.732 0.195
S7 S 0.765 0.765 0.807
S8 S 0.766 0.276 0.808
# Energy relative to the elements, uncorrected ... -16.81 eV per formula unit



# 21
# CoRe2Pb (PBE-GGA, relaxed)
data_CoRe2Pb
_chemical_formula_sum 'Co1 Re2 Pb1'
_space_group_name_H-M_alt 'P 1'
_space_group_IT_number 1
_cell_length_a 2.937
_cell_length_b 3.747
_cell_length_c 6.016
_cell_angle_alpha 90.00
_cell_angle_beta 90.00
_cell_angle_gamma 90.00
loop_
_space_group_symop_operation_xyz
'x,y,z'
loop_
_atom_site_label
_atom_site_type_symbol
_atom_site_fract_x
_atom_site_fract_y
_atom_site_fract_z
Co1 Co 0.000 0.000 0.000
Re1 Re 0.000 0.000 0.583
Re2 Re 0.500 0.500 0.776
Pb1 Pb 0.500 0.500 0.258
# Formation energy ... 0.62 eV per atom